(1)
! Sc2MnRh4 | Alexandria via LeMat-Bulk | GGA-PBE | relaxed; values from VASP
! DOS(E_F), states/eV/cell: 4.14
! Energy, eV/atom: -7.75
! Symmetry: R-3m, No. 166
! Energy of formation from the pure elements, meV per atom: -431
! Magnetization, Bohr magnetons per cell: 4.24
&SYSTEM
  ibrav = 0, nat = 7, ntyp = 3
/
ATOMIC_SPECIES
Sc 44.96 Sc.upf
Mn 54.94 Mn.upf
Rh 102.91 Rh.upf
CELL_PARAMETERS angstrom
2.1798 1.2585 7.1161
-2.1798 1.2585 7.1161
0.0000 -2.5170 7.1161
ATOMIC_POSITIONS angstrom
Sc 0.0000 0.0000 5.2406
Sc 0.0000 0.0000 16.1077
Mn 0.0000 0.0000 0.0000
Rh 0.0000 0.0000 2.6393
Rh 0.0000 0.0000 7.9722
Rh 0.0000 0.0000 13.3760
Rh 0.0000 0.0000 18.7089



(2)
! La2PrTm4Sc | Alexandria via LeMat-Bulk | GGA-PBE | relaxed; values from VASP
! DOS(E_F), states/eV/cell: 36.96
! Energy, eV/atom: -4.45
! Symmetry: C2/c, No. 15
! Energy of formation from the pure elements, meV per atom: 405
! Magnetization, Bohr magnetons per cell: 0.05
&SYSTEM
  ibrav = 0, nat = 16, ntyp = 4
/
ATOMIC_SPECIES
La 138.91 La.upf
Pr 140.91 Pr.upf
Tm 168.93 Tm.upf
Sc 44.96 Sc.upf
CELL_PARAMETERS angstrom
6.7641 -6.5600 0.0000
6.7641 6.5600 0.0000
-3.3761 0.0000 5.8634
ATOMIC_POSITIONS angstrom
La 0.0000 0.0000 0.0000
La -1.6881 0.0000 2.9317
La 3.3820 3.2800 0.0000
La 1.6940 -3.2800 2.9317
Pr 6.7641 0.0000 0.0000
Pr 5.0760 0.0000 2.9317
Tm 1.6886 0.1673 2.9271
Tm 5.0424 3.2983 2.9919
Tm 3.4215 3.2983 5.8031
Tm 0.0005 -0.1673 5.8588
Tm 10.1515 0.1673 0.0045
Tm 6.7305 -3.2983 0.0602
Tm 5.1096 -3.2983 2.8714
Tm 8.4634 -0.1673 2.9362
Sc 1.6940 3.2800 2.9317
Sc 3.3820 -3.2800 0.0000



(3)
! Eu3Si12Pt5 | Alexandria via LeMat-Bulk | GGA-PBE | relaxed; values from VASP
! DOS(E_F), states/eV/cell: 105.69
! Energy, eV/atom: -6.51
! Symmetry: Ia-3d, No. 230
! Magnetization, Bohr magnetons per cell: 85.05
&SYSTEM
  ibrav = 0, nat = 80, ntyp = 3
/
ATOMIC_SPECIES
Eu 151.96 Eu.upf
Si 28.09 Si.upf
Pt 195.08 Pt.upf
CELL_PARAMETERS angstrom
-7.6703 7.6703 7.6703
7.6703 -7.6703 7.6703
7.6703 7.6703 -7.6703
ATOMIC_POSITIONS angstrom
Eu 3.8352 1.9176 0.0000
Eu 7.6703 3.8352 -1.9176
Eu 1.9176 0.0000 3.8352
Eu 9.5879 0.0000 3.8352
Eu 0.0000 3.8352 1.9176
Eu 3.8352 -1.9176 7.6703
Eu 3.8352 9.5879 0.0000
Eu 7.6703 3.8352 5.7528
Eu -1.9176 7.6703 3.8352
Eu 5.7528 7.6703 3.8352
Eu 0.0000 3.8352 9.5879
Eu 3.8352 5.7528 7.6703
Si 5.7835 -4.8827 4.9038
Si 13.3924 1.0687 -1.0475
Si 10.4580 2.7665 -1.8868
Si 8.7179 -5.7220 6.6017
Si 4.9038 5.7835 -4.8827
Si 6.6017 -1.0475 1.9483
Si 9.6187 1.0687 1.0475
Si 9.5572 -2.7877 4.9038
Si 6.6017 8.7179 -5.7220
Si 4.9038 -1.8868 4.8827
Si 4.8827 4.9038 -1.8868
Si 6.6228 1.9483 1.0687
Si 6.6228 -1.9483 6.6017
Si 12.5530 2.7665 1.8868
Si 6.6017 6.6228 -1.9483
Si 4.9038 1.8868 2.7877
Si 1.9483 6.6017 -1.0475
Si 9.5572 2.7877 2.7665
Si 4.9038 9.5572 -2.7877
Si 6.6017 1.0475 5.7220
Si 2.7877 4.9038 1.8868
Si 8.7179 5.7220 1.0687
Si 5.7220 6.6017 1.0475
Si 5.7835 4.8827 2.7665
Si 1.8868 2.7877 4.9038
Si 1.9483 1.0687 6.6228
Si -1.0475 1.9483 6.6017
Si 4.8827 2.7665 5.7835
Si 1.0687 6.6228 1.9483
Si 2.7665 -1.8868 10.4580
Si -1.8868 4.8827 4.9038
Si 5.7220 1.0687 8.7179
Si 2.7665 5.7835 4.8827
Si 1.0687 1.0475 9.6187
Si -4.8827 4.9038 5.7835
Si 1.0475 9.6187 1.0687
Si 1.0475 5.7220 6.6017
Si 2.7877 2.7665 9.5572
Si 2.7665 9.5572 2.7877
Si 1.0687 -1.0475 13.3924
Si -1.8868 10.4580 2.7665
Si -1.9483 6.6017 6.6228
Si 1.0687 8.7179 5.7220
Si 2.7665 1.8868 12.5530
Si -1.0475 13.3924 1.0687
Si -2.7877 4.9038 9.5572
Si -5.7220 6.6017 8.7179
Si 1.8868 12.5530 2.7665
Pt 0.0000 0.0000 0.0000
Pt 3.8352 3.8352 -3.8352
Pt 3.8352 -3.8352 3.8352
Pt 7.6703 0.0000 0.0000
Pt 11.5055 1.9176 0.0000
Pt 7.6703 -3.8352 5.7528
Pt 5.7528 7.6703 -3.8352
Pt 5.7528 0.0000 3.8352
Pt 3.8352 5.7528 0.0000
Pt 7.6703 3.8352 1.9176
Pt -3.8352 3.8352 3.8352
Pt 0.0000 7.6703 0.0000
Pt 0.0000 0.0000 7.6703
Pt 3.8352 3.8352 3.8352
Pt 0.0000 3.8352 5.7528
Pt 3.8352 1.9176 7.6703
Pt 1.9176 7.6703 3.8352
Pt 1.9176 0.0000 11.5055
Pt 0.0000 11.5055 1.9176
Pt -3.8352 5.7528 7.6703



(4)
! AcCe2N | Alexandria via LeMat-Bulk | GGA-PBE | relaxed; values from VASP
! DOS(E_F), states/eV/cell: 9.16
! Energy above the most stable polymorph in this dataset, kJ per mole of atoms: 36.40
! Energy, eV/atom: -6.23
! Symmetry: P4/mmm, No. 123
! Magnetization, Bohr magnetons per cell: 1.25
&SYSTEM
  ibrav = 0, nat = 4, ntyp = 3
/
ATOMIC_SPECIES
Ac 227.00 Ac.upf
Ce 140.12 Ce.upf
N 14.01 N.upf
CELL_PARAMETERS angstrom
3.2838 0.0000 0.0000
0.0000 3.2838 0.0000
0.0000 0.0000 9.0401
ATOMIC_POSITIONS angstrom
Ac 0.0000 0.0000 0.0000
Ce 1.6419 1.6419 3.1402
Ce 1.6419 1.6419 5.8999
N 0.0000 0.0000 4.5201



(5)
! Sr3RhAu2 | Alexandria via LeMat-Bulk | GGA-PBE | relaxed; values from VASP
! DOS(E_F), states/eV/cell: 16.59
! Energy, eV/atom: -3.75
! Symmetry: Pnma, No. 62
! Energy of formation from the pure elements, meV per atom: -587
! Magnetization, Bohr magnetons per cell: 0.00
&SYSTEM
  ibrav = 0, nat = 24, ntyp = 3
/
ATOMIC_SPECIES
Sr 87.62 Sr.upf
Rh 102.91 Rh.upf
Au 196.97 Au.upf
CELL_PARAMETERS angstrom
12.5255 0.0000 0.0000
0.0000 4.5285 0.0000
0.0000 0.0000 12.4287
ATOMIC_POSITIONS angstrom
Sr 0.6092 1.1321 1.5815
Sr 1.4374 3.3964 6.8558
Sr 2.8328 1.1321 9.8707
Sr 3.4300 3.3964 3.6564
Sr 4.8254 1.1321 0.6414
Sr 5.6536 3.3964 7.7959
Sr 6.8720 1.1321 4.6328
Sr 7.7001 3.3964 11.7873
Sr 9.0956 1.1321 8.7724
Sr 9.6927 3.3964 2.5580
Sr 11.0882 1.1321 5.5729
Sr 11.9164 3.3964 10.8472
Rh 1.6002 1.1321 4.6058
Rh 4.6625 3.3964 10.8201
Rh 7.8630 1.1321 1.6086
Rh 10.9253 3.3964 7.8230
Au 0.1578 3.3964 3.8372
Au 2.4138 3.3964 12.3687
Au 3.8489 1.1321 6.1544
Au 6.1050 1.1321 10.0516
Au 6.4205 3.3964 2.3772
Au 8.6766 3.3964 6.2744
Au 10.1117 1.1321 0.0600
Au 12.3678 1.1321 8.5915



(6)
! Si4Pt | Alexandria via LeMat-Bulk | GGA-PBE | relaxed; values from VASP
! DOS(E_F), states/eV/cell: 5.27
! Energy, eV/atom: -4.80
! Symmetry: Pm-3m, No. 221
! Magnetization, Bohr magnetons per cell: 0.00
&SYSTEM
  ibrav = 0, nat = 5, ntyp = 2
/
ATOMIC_SPECIES
Si 28.09 Si.upf
Pt 195.08 Pt.upf
CELL_PARAMETERS angstrom
4.6838 0.0000 0.0000
0.0000 4.6838 0.0000
0.0000 0.0000 4.6838
ATOMIC_POSITIONS angstrom
Si 0.0000 0.0000 0.0000
Si 0.0000 2.3419 2.3419
Si 2.3419 0.0000 2.3419
Si 2.3419 2.3419 0.0000
Pt 2.3419 2.3419 2.3419